A geometry-optimized AcNi3B structure. Source: Alexandria via LeMat-Bulk, functional PBE.

Properties
Energy relative to the lowest polymorph listed for this composition ... 0 meV/atom
E ... -116.612 eV/cell
Space group ... No. 194
Magnetic moment ... 0.0000 μB per atom
Formation energy ... -0.20 eV/atom

abc: 6.491 6.491 8.665
angles: 90.00 90.00 120.00
Atoms (fractional coordinates):
Ni 0.000 0.500 0.500
Ni 0.796 0.592 0.250
Ni 0.592 0.796 0.750
Ni 0.500 0.500 0.000
Ni 0.796 0.204 0.250
Ni 0.500 0.000 0.500
Ni 0.204 0.796 0.750
Ni 0.000 0.500 0.000
Ni 0.500 0.500 0.500
Ni 0.500 0.000 0.000
Ni 0.204 0.408 0.750
Ni 0.408 0.204 0.250
Ac 0.000 0.000 0.500
Ac 0.000 0.000 0.000
Ac 0.667 0.333 0.750
Ac 0.333 0.667 0.250
B 0.667 0.333 0.090
B 0.333 0.667 0.590
B 0.667 0.333 0.410
B 0.333 0.667 0.910